Record 1
Computed, not measured: an optimized crystal structure of BaNb2W at the PBE level of DFT.

Output
ΔH_f (0 K) = 432 kJ/mol of formula units
SG = Fm-3m, No. 225
ΔE to the lowest computed polymorph = 0 meV per atom
Density = 10.055 Mg/m³
D(E_F) = 1.77 states/eV/atom

Cell: 4.9105 4.9105 4.9105 Å, 60.00 60.00 60.00°
Positions (direct):
W 0.5000 0.5000 0.5000
Nb 0.7500 0.7500 0.7500
Nb 0.2500 0.2500 0.2500
Ba 0.0000 0.0000 0.0000

Record 2
Computed, not measured: an optimized crystal structure of Ba2NbW2 at the PBE level of DFT.

Output
ΔH_f (0 K) = 846 kJ/mol of formula units
SG = I4/mmm, No. 139
ΔE to the lowest computed polymorph = 611 meV per atom
Density = 9.036 Mg/m³
D(E_F) = 1.17 states/eV/atom

Cell: 4.1934 4.1934 8.2361 Å, 75.25 75.25 90.00°
Positions (direct):
Ba 0.2500 0.7500 0.5000
Ba 0.7500 0.2500 0.5000
W 0.4281 0.4281 0.1438
W 0.5719 0.5719 0.8562
Nb 0.0000 0.0000 0.0000

Record 3
Computed, not measured: an optimized crystal structure of BaNb2W at the PBE level of DFT.

Output
ΔH_f (0 K) = 566 kJ/mol of formula units
SG = I4_1/amd, No. 141
ΔE to the lowest computed polymorph = 348 meV per atom
Density = 6.753 Mg/m³
D(E_F) = 1.75 states/eV/atom

Cell: 5.2887 5.2887 9.6669 Å, 74.12 74.12 90.00°
Positions (direct):
W 0.7500 0.2500 0.5000
W 0.0000 0.0000 0.0000
Nb 0.8748 0.6250 0.2500
Nb 0.8750 0.1252 0.7500
Nb 0.3750 0.1248 0.7500
Nb 0.8752 0.1250 0.2500
Ba 0.5000 0.5000 0.0000
Ba 0.2500 0.7500 0.5000

Record 4
Computed, not measured: an optimized crystal structure of Ba2NbW2 at the PBE level of DFT.

Output
ΔH_f (0 K) = 552 kJ/mol of formula units
SG = P4/mbm, No. 127
ΔE to the lowest computed polymorph = 0 meV per atom
Density = 8.962 Mg/m³
D(E_F) = 1.72 states/eV/atom

Cell: 6.8127 6.8127 5.8703 Å, 90.00 90.00 90.00°
Positions (direct):
Ba 0.1799 0.6799 0.5000
Ba 0.3201 0.1799 0.5000
Ba 0.6799 0.8201 0.5000
Ba 0.8201 0.3201 0.5000
W 0.1309 0.3691 0.0000
W 0.3691 0.8691 0.0000
W 0.8691 0.6309 0.0000
W 0.6309 0.1309 0.0000
Nb 0.0000 0.0000 0.0000
Nb 0.5000 0.5000 0.0000